No. 1
The following is a DFT calculation (GGA-PBE) of a relaxed LaTb9Er2 crystal.

Properties
DFT formation energy: 0.30 eV/f.u.
relative energy among the computed polymorphs: 0 meV/atom
total magnetization: 0.00 μB per cell

Unit cell a=5.0455 b=5.0455 c=15.1605 alpha=90.00 beta=90.00 gamma=90.00
Closest atoms and distances in Å follow each position.
Space group P4/mmm (No. 123)
Symmetry-distinct sites (fractional):
La 0.0000 0.0000 0.0000 (multiplicity 1)  12 Tb 3.57-3.62
Tb 0.0000 0.5000 0.1708 (multiplicity 4)  2 Er 3.54, 8 Tb 3.56-3.62, 2 La 3.62
Tb 0.0000 0.5000 0.5000 (multiplicity 2)  8 Tb 3.54-3.57, 4 Er 3.55
Tb 0.5000 0.5000 0.0000 (multiplicity 1)  4 La 3.57, 8 Tb 3.62
Tb 0.5000 0.5000 0.3363 (multiplicity 2)  8 Tb 3.54-3.56, 4 Er 3.57
Er 0.0000 0.0000 0.3348 (multiplicity 2)  12 Tb 3.54-3.57

=====

No. 2
The following is a DFT calculation (GGA-PBE) of a relaxed La2Tb5Er12 crystal.

Properties
DFT formation energy: 2.57 eV/f.u.
relative energy among the computed polymorphs: 0 meV/atom
total magnetization: 0.00 μB per cell

Unit cell a=16.3322 b=8.9296 c=8.4477 alpha=90.00 beta=92.46 gamma=90.00
Closest atoms and distances in Å follow each position.
Space group C2/m (No. 12)
Symmetry-distinct sites (fractional):
La 0.0000 0.2102 0.0000 (multiplicity 4)  8 Er 3.48-3.89, 2 Tb 3.58, 1 La 3.75
Tb 0.0000 0.0000 0.5000 (multiplicity 2)  4 Er 3.31
Tb 0.1475 0.5000 0.9477 (multiplicity 4)  8 Er 3.27-3.55, 2 La 3.58
Tb 0.2424 0.0000 0.5487 (multiplicity 4)  5 Er 3.06-3.42
Er 0.0537 0.5000 0.2825 (multiplicity 4)  2 Tb 3.27-3.57, 6 Er 3.38-3.52, 2 La 3.60
Er 0.1095 0.2965 0.6100 (multiplicity 8)  4 Tb 3.31-3.48, 5 Er 3.38-3.63
Er 0.1633 0.0000 0.8707 (multiplicity 4)  2 Tb 3.06-3.39
Er 0.1911 0.2050 0.2174 (multiplicity 8)  4 Tb 3.42-3.55, 6 Er 3.47-3.72, 1 La 3.55

=====

No. 3
The following is a DFT calculation (GGA-PBE) of a relaxed La6Tb2Er crystal.

Properties
DFT formation energy: 1.06 eV/f.u.
total magnetization: 0.00 μB per cell

Unit cell a=9.5130 b=17.9214 c=3.6988 alpha=90.00 beta=90.00 gamma=90.00
Closest atoms and distances in Å follow each position.
Space group Cmmm (No. 65)
Symmetry-distinct sites (fractional):
La 0.1716 0.1656 0.0000 (multiplicity 8)  4 La 3.26-3.50, 2 Tb 3.63
La 0.1796 0.0000 0.5000 (multiplicity 4)  7 La 3.42-3.70, 2 Er 3.57
Tb 0.0000 0.3286 0.5000 (multiplicity 4)  2 Er 3.59, 8 La 3.63-3.82, 2 Tb 3.70
Er 0.0000 0.5000 0.0000 (multiplicity 2)  4 La 3.57, 4 Tb 3.59, 2 Er 3.70

=====

No. 4
The following is a DFT calculation (GGA-PBE) of a relaxed LaTb3Er6 crystal.

Properties
DFT formation energy: 2.95 eV/f.u.
relative energy among the computed polymorphs: 157 meV/atom
total magnetization: 0.01 μB per cell

Unit cell a=9.8182 b=9.8182 c=11.5932 alpha=90.00 beta=90.00 gamma=120.00
Closest atoms and distances in Å follow each position.
Space group R3 (No. 146, hexagonal axes)
Symmetry-distinct sites (fractional):
La 0.0000 0.0000 0.0000 (multiplicity 3)  2 Tb 2.93-2.94, 3 Er 3.27
Tb 0.0000 0.0000 0.2534 (multiplicity 3)  1 Tb 2.86, 1 La 2.94
Tb 0.0000 0.0000 0.5002 (multiplicity 3)  2 Tb 2.86-2.87
Tb 0.0000 0.0000 0.7476 (multiplicity 3)  1 Tb 2.87, 1 La 2.93
Er 0.0000 0.3330 0.6662 (multiplicity 9)  1 La 3.27, 2 Tb 3.40
Er 0.9999 0.6722 0.4995 (multiplicity 9)  3 Tb 3.22-3.45

=====

No. 5
The following is a DFT calculation (GGA-PBE) of a relaxed La4Tb7Er crystal.

Properties
DFT formation energy: 0.24 eV/f.u.
relative energy among the computed polymorphs: 0 meV/atom
total magnetization: 0.00 μB per cell

Unit cell a=3.6200 b=3.6200 c=35.3976 alpha=90.00 beta=90.00 gamma=120.00
Closest atoms and distances in Å follow each position.
Space group P-3m1 (No. 164)
Symmetry-distinct sites (fractional):
La 0.3333 0.6667 0.1654 (multiplicity 2)  6 La 3.62, 6 Tb 3.66
La 0.3333 0.6667 0.4159 (multiplicity 2)  6 La 3.62, 6 Tb 3.64-3.66
Tb 0.0000 0.0000 0.2502 (multiplicity 2)  9 Tb 3.55-3.62, 3 La 3.66
Tb 0.0000 0.0000 0.5000 (multiplicity 1)  6 Tb 3.62, 6 La 3.64
Tb 0.3333 0.6667 0.6689 (multiplicity 2)  9 Tb 3.55-3.62, 3 La 3.66
Tb 0.3333 0.6667 0.9197 (multiplicity 2)  3 Er 3.53, 6 Tb 3.62, 3 La 3.66
Er 0.0000 0.0000 0.0000 (multiplicity 1)  6 Tb 3.53, 6 Er 3.62

=====

No. 6
The following is a DFT calculation (GGA-PBE) of a relaxed La2TbEr3 crystal.

Properties
DFT formation energy: 1.45 eV/f.u.
relative energy among the computed polymorphs: 211 meV/atom
total magnetization: 0.01 μB per cell

Unit cell a=9.3782 b=13.3384 c=6.4696 alpha=90.00 beta=90.00 gamma=90.00
Closest atoms and distances in Å follow each position.
Space group Cmc2_1 (No. 36)
Symmetry-distinct sites (fractional):
La 0.1856 0.1800 0.0000 (multiplicity 8)  2 Tb 3.23-3.26, 3 Er 3.30-3.58, 1 La 3.48
Tb 0.0000 0.3304 0.2849 (multiplicity 4)  4 La 3.23-3.26, 3 Er 3.31-3.57
Er 0.0000 0.4218 0.7659 (multiplicity 4)  3 Tb 3.31-3.57, 2 Er 3.37, 2 La 3.67
Er 0.1868 0.0671 0.5189 (multiplicity 8)  4 La 3.30-3.68, 2 Er 3.37-3.50, 1 Tb 3.67

=====

No. 7
The following is a DFT calculation (GGA-PBE) of a relaxed La7Tb3Er2 crystal.

Properties
DFT formation energy: 0.82 eV/f.u.
total magnetization: 0.00 μB per cell

Unit cell a=6.5346 b=3.5768 c=17.8147 alpha=90.00 beta=95.65 gamma=90.00
Closest atoms and distances in Å follow each position.
Space group P2/m (No. 10)
Symmetry-distinct sites (fractional):
La 0.0000 0.0000 0.0000 (multiplicity 1)  8 La 3.58-3.73, 4 Tb 3.72
La 0.2250 0.5000 0.1725 (multiplicity 2)  1 Er 3.51, 8 La 3.58-3.73, 3 Tb 3.64-3.71
La 0.2617 0.5000 0.4908 (multiplicity 2)  2 La 3.10-3.47, 1 Er 3.37
La 0.2748 0.0000 0.8315 (multiplicity 2)  2 Er 3.57, 7 La 3.58-3.73, 3 Tb 3.63-3.67
Tb 0.4571 0.0000 0.3372 (multiplicity 2)  2 Tb 3.58, 7 La 3.61-3.85, 4 Er 3.65-3.80
Tb 0.5000 0.5000 0.0000 (multiplicity 1)  2 Tb 3.58, 10 La 3.67-3.72
Er 0.0576 0.5000 0.6695 (multiplicity 2)  5 La 3.37-3.57, 2 Er 3.58, 2 Tb 3.65

=====

No. 8
The following is a DFT calculation (GGA-PBE) of a relaxed La4Tb8Er crystal.

Properties
DFT formation energy: 6.92 eV/f.u.
total magnetization: 11.74 μB per cell

Unit cell a=11.0827 b=11.0827 c=13.4961 alpha=90.00 beta=90.00 gamma=120.00
Closest atoms and distances in Å follow each position.
Space group R-3m (No. 166, hexagonal axes)
Symmetry-distinct sites (fractional):
La 0.0000 0.0000 0.0000 (multiplicity 3)  8 Tb 3.23-3.25
La 0.0000 0.5000 0.0000 (multiplicity 9)  8 Tb 3.44
Tb 0.0000 0.0000 0.2390 (multiplicity 6)  4 La 3.23-3.44, 1 Er 3.52
Tb 0.0136 0.5068 0.7454 (multiplicity 18)  4 La 3.25-3.44, 1 Er 3.53
Er 0.0000 0.0000 0.5000 (multiplicity 3)  8 Tb 3.52-3.53, 6 La 3.91

=====

No. 9
The following is a DFT calculation (GGA-PBE) of a relaxed La2Tb5Er2 crystal.

Properties
DFT formation energy: 1.86 eV/f.u.
relative energy among the computed polymorphs: 0 meV/atom
total magnetization: 0.00 μB per cell

Unit cell a=14.9559 b=11.9215 c=6.7559 alpha=90.00 beta=90.00 gamma=90.00
Closest atoms and distances in Å follow each position.
Space group Ima2 (No. 46)
Symmetry-distinct sites (fractional):
La 0.1268 0.0024 0.0000 (multiplicity 8)  4 Tb 3.38-3.59, 2 Er 3.62-3.64, 1 La 3.69
Tb 0.0527 0.7473 0.8587 (multiplicity 8)  5 Tb 3.18-3.56, 1 Er 3.29, 1 La 3.38
Tb 0.1433 0.2330 0.6806 (multiplicity 8)  4 Tb 3.18-3.40, 2 La 3.39-3.50, 1 Er 3.45
Tb 0.2500 0.7412 0.6517 (multiplicity 4)  6 Tb 3.27-3.56, 2 Er 3.44-3.64, 2 La 3.59
Er 0.0000 0.0000 0.5395 (multiplicity 4)  4 Tb 3.29-3.64, 2 La 3.64
Er 0.2500 0.0087 0.4609 (multiplicity 4)  4 Tb 3.44-3.64, 2 La 3.62, 2 Er 3.78

=====

No. 10
The following is a DFT calculation (GGA-PBE) of a relaxed La7Tb6Er16 crystal.

Properties
DFT formation energy: 7.78 eV/f.u.
total magnetization: 0.00 μB per cell

Unit cell a=15.9515 b=15.9515 c=15.9515 alpha=90.00 beta=90.00 gamma=90.00
Closest atoms and distances in Å follow each position.
Space group Fm-3m (No. 225)
Symmetry-distinct sites (fractional):
La 0.0000 0.0000 0.0000 (multiplicity 4)  8 Er 3.60, 6 Tb 4.02
La 0.0000 0.2500 0.2500 (multiplicity 24)  8 Er 3.29-3.41
Tb 0.0000 0.0000 0.2520 (multiplicity 24)  8 Er 3.52-3.74
Er 0.1302 0.1302 0.1302 (multiplicity 32)  4 La 3.41-3.60, 3 Tb 3.52, 3 Er 3.53
Er 0.1507 0.1507 0.3493 (multiplicity 32)  3 La 3.29, 3 Er 3.53

=====

No. 11
The following is a DFT calculation (GGA-PBE) of a relaxed LaTb12Er7 crystal.

Properties
DFT formation energy: 4.74 eV/f.u.
total magnetization: 0.00 μB per cell

Unit cell a=11.9862 b=11.9862 c=15.9060 alpha=90.00 beta=90.00 gamma=120.00
Closest atoms and distances in Å follow each position.
Space group R-3 (No. 148, hexagonal axes)
Symmetry-distinct sites (fractional):
La 0.0000 0.0000 0.0000 (multiplicity 3)  6 Er 3.36
Tb 0.0203 0.5706 0.2185 (multiplicity 18)  4 Er 3.21-3.43, 2 Tb 3.53-3.54
Tb 0.0516 0.8620 0.2936 (multiplicity 18)  6 Tb 3.40-3.75, 3 Er 3.41-3.76
Er 0.0000 0.0000 0.5000 (multiplicity 3)  6 Tb 3.43
Er 0.0449 0.4581 0.5840 (multiplicity 18)  4 Tb 3.21-3.41, 1 Er 3.22, 1 La 3.36

=====

No. 12
The following is a DFT calculation (GGA-PBE) of a relaxed LaTbEr2 crystal.

Properties
DFT formation energy: 0.13 eV/f.u.
relative energy among the computed polymorphs: 21 meV/atom
total magnetization: 0.00 μB per cell

Unit cell a=3.5963 b=3.5963 c=10.0679 alpha=90.00 beta=90.00 gamma=90.00
Closest atoms and distances in Å follow each position.
Space group P4/mmm (No. 123)
Symmetry-distinct sites (fractional):
La 0.0000 0.0000 0.0000 (multiplicity 1)  4 La 3.60, 8 Er 3.63
Tb 0.0000 0.0000 0.5000 (multiplicity 1)  8 Er 3.53, 4 Tb 3.60
Er 0.5000 0.5000 0.2570 (multiplicity 2)  4 Tb 3.53, 4 Er 3.60, 4 La 3.63